No. 1
The following is a GGA-PBE calculation of an optimized crystal structure of MgHgPt, from the Alexandria database.

```
MgHgPt
1.0
-4.3616 -1.2006 -0.0287
-1.5580 -2.7867 -3.2051
-1.1879 -4.2332 1.0653
Hg Mg Pt
1 1 1
Cartesian
0.0000 0.0000 0.0000
-3.5537 -4.1103 -1.0843
-1.7769 -2.0551 -0.5421
```

Output
Polymorph energy (0 for the lowest one)   0.25 eV/f.u.
ΔE_f   -1.1 eV/f.u.
Energy   -9.0 eV/cell
Volume   65.5 Å³/cell
Symmetry   F-43m, No. 216

No. 2
The following is a GGA-PBE calculation of an optimized crystal structure of BaVHg3, from the Alexandria database.

```
BaVHg3
1.0
6.3083 0.0000 0.0000
0.0000 6.3083 0.0000
0.0000 0.0000 6.3083
Ba Hg V
1 3 1
Cartesian
0.0000 0.0000 0.0000
0.0000 3.1541 0.0000
0.0000 0.0000 3.1541
3.1541 0.0000 0.0000
3.1541 3.1541 3.1541
```

Output
Polymorph energy (0 for the lowest one)   5.01 eV/f.u.
ΔE_f   5.0 eV/f.u.
Energy   -7.0 eV/cell
Volume   251.0 Å³/cell
Symmetry   Pm-3m, No. 221

No. 3
The following is a GGA-PBE calculation of an optimized crystal structure of Ce2YCo9, from the Alexandria database.

```
Ce2YCo9
1.0
4.9104 0.0000 0.0000
2.4552 4.2526 0.0000
2.4552 1.4175 8.2668
Ce Y Co
2 1 9
Cartesian
7.3656 4.2526 3.4712
2.4552 1.4175 4.7956
0.0000 0.0000 0.0000
7.3657 4.2526 8.2467
2.4552 1.4175 0.0201
4.9104 2.8350 4.1334
3.6917 2.1314 1.9808
6.1292 2.1314 1.9808
4.9104 4.2423 1.9808
6.1292 3.5387 6.2860
4.9104 1.4277 6.2860
3.6917 3.5387 6.2860
```

Output
ΔE_f   -2.2 eV/f.u.
Energy   -84.5 eV/cell
Volume   172.6 Å³/cell
Symmetry   R-3m, No. 166

No. 4
The following is a GGA-PBE calculation of an optimized crystal structure of Ge2Pt3Pb, from the Alexandria database.

```
Ge2Pt3Pb
1.0
-2.7063 -0.3191 -2.9489
0.7953 -3.9275 -0.3049
-11.4108 -3.1516 10.8131
Ge Pt Pb
4 6 2
Cartesian
-10.3943 -5.8747 8.8081
-2.9275 -1.5234 -1.2488
-6.4399 -2.4938 2.0796
-6.8819 -4.9043 5.4796
-4.6841 -2.0069 0.4155
-8.6378 -5.3912 7.1438
-1.4340 -3.1849 -2.4397
-11.8878 -4.2132 9.9990
-6.1838 -2.6378 4.5937
-7.1380 -4.7603 2.9655
-2.9331 -3.8110 1.7374
-10.3888 -3.5871 5.8219
```

Output
ΔE_f   -1.9 eV/f.u.
Energy   -66.0 eV/cell
Volume   258.7 Å³/cell
Symmetry   I4/mmm, No. 139

No. 5
The following is a GGA-PBE calculation of an optimized crystal structure of NdGaAs2O8, from the Alexandria database.

```
NdGaAs2O8
1.0
-2.2351 -1.5097 4.6638
5.0384 -1.4977 -1.1820
2.3564 5.6042 2.9434
Nd Ga As O
1 1 2 8
Cartesian
1.1782 2.8021 1.4717
0.0000 0.0000 0.0000
4.3408 2.6055 2.9237
0.8189 -0.0086 3.5015
3.1253 3.7981 2.7273
5.7909 3.0058 2.1019
4.6085 2.2070 4.5693
0.5513 0.3898 1.8559
1.4104 1.3981 4.2404
3.7493 1.1987 2.1849
2.0344 -1.2013 3.6979
-0.6312 -0.4089 4.3233
```

Output
ΔE_f (raw)   -21.29 eV per formula unit
Energy   -78.0 eV/cell
Volume   169.8 Å³/cell
Symmetry   P-3m1, No. 164

No. 6
The following is a GGA-PBE calculation of an optimized crystal structure of PrTmCd2, from the Alexandria database.

```
PrTmCd2
1.0
-4.1135 2.8403 1.9626
-2.3656 -1.5124 4.5778
0.6441 2.9334 4.4520
Pr Tm Cd
1 1 2
Cartesian
-2.9175 2.1306 5.4962
0.0000 0.0000 0.0000
-1.4588 1.0653 2.7481
-4.3763 3.1959 8.2443
```

Output
Polymorph energy (0 for the lowest one)   0.03 eV/f.u.
ΔE_f   -1.2 eV/f.u.
Energy   -12.3 eV/cell
Volume   109.5 Å³/cell
Symmetry   Fm-3m, No. 225

No. 7
The following is a GGA-PBE calculation of an optimized crystal structure of MgPbO, from the Alexandria database.

```
MgPbO
1.0
-1.1363 1.0143 3.6508
2.3743 -2.4148 1.4099
5.5590 7.2264 -0.2776
O Mg Pb
2 2 2
Cartesian
3.9291 1.7111 1.8191
2.8679 4.1149 2.9640
3.3309 3.5089 1.1334
3.4660 2.3171 3.6497
1.0817 0.3668 1.3064
5.7152 5.4592 3.4768
```

Output
ΔE_f (raw)   -4.35 eV per formula unit
Energy   -29.2 eV/cell
Volume   131.1 Å³/cell
Symmetry   P2_1/m, No. 11

No. 8
The following is a GGA-PBE calculation of an optimized crystal structure of Hg3TeRh, from the Alexandria database.

```
Hg3TeRh
1.0
5.2218 0.0000 0.0000
0.0000 5.2218 0.0000
0.0000 0.0000 5.2218
Te Rh Hg
1 1 3
Cartesian
2.6109 2.6109 2.6109
0.0000 0.0000 0.0000
0.0000 2.6109 0.0000
0.0000 0.0000 2.6109
2.6109 0.0000 0.0000
```

Output
Polymorph energy (0 for the lowest one)   0.00 eV/f.u.
ΔE_f (raw)   1.92 eV per formula unit
Energy   -9.5 eV/cell
Volume   142.4 Å³/cell
Symmetry   Pm-3m, No. 221

No. 9
The following is a GGA-PBE calculation of an optimized crystal structure of TeMo2Cl, from the Alexandria database.

```
TeMo2Cl
1.0
4.4442 0.0000 0.0000
0.0000 2.9323 0.0127
0.0000 -0.6654 6.0274
Cl Mo Te
1 2 1
Cartesian
2.2221 1.7001 4.5301
0.0000 2.0521 5.7015
0.0000 1.3481 3.3586
2.2221 0.5667 1.5100
```

Output
Polymorph energy (0 for the lowest one)   3.05 eV/f.u.
ΔE_f (raw)   2.68 eV per formula unit
Energy   -24.0 eV/cell
Volume   78.6 Å³/cell
Symmetry   P2/m, No. 10